[1]
# PBE-GGA AlAsO2F, optimized geometry
data_AlAsO2F
_cell_length_a 3.941
_cell_length_b 3.941
_cell_length_c 4.266
_cell_angle_alpha 90.00
_cell_angle_beta 90.00
_cell_angle_gamma 90.00
_symmetry_space_group_name_H-M 'P 1'
_symmetry_Int_Tables_number 1
loop_
_symmetry_equiv_pos_as_xyz
'x,y,z'
loop_
_atom_site_label
_atom_site_fract_x
_atom_site_fract_y
_atom_site_fract_z
As1 0.000 0.000 0.000
Al1 0.500 0.500 0.500
O1 0.000 0.500 0.000
O2 0.500 0.000 0.000
F1 0.000 0.000 0.500
# Calculated volume ... 13.25 Å³ per atom
# Density of states at the Fermi level ... 0.57 states/eV per atom



[2]
# PBE-GGA AlAs2O6F, optimized geometry
data_AlAs2O6F
_cell_length_a 3.797
_cell_length_b 8.751
_cell_length_c 8.751
_cell_angle_alpha 97.45
_cell_angle_beta 77.47
_cell_angle_gamma 77.47
_symmetry_space_group_name_H-M 'P 1'
_symmetry_Int_Tables_number 1
loop_
_symmetry_equiv_pos_as_xyz
'x,y,z'
loop_
_atom_site_label
_atom_site_fract_x
_atom_site_fract_y
_atom_site_fract_z
Al1 0.250 0.228 0.772
Al2 0.750 0.772 0.228
As1 0.512 0.828 0.648
As2 0.988 0.352 0.172
As3 0.488 0.172 0.352
As4 0.012 0.648 0.828
O1 0.364 0.006 0.765
O2 0.136 0.235 0.994
O3 0.636 0.994 0.235
O4 0.864 0.765 0.006
O5 0.626 0.796 0.451
O6 0.874 0.549 0.204
O7 0.374 0.204 0.549
O8 0.126 0.451 0.796
O9 0.031 0.768 0.669
O10 0.469 0.331 0.232
O11 0.969 0.232 0.331
O12 0.531 0.669 0.768
F1 0.250 0.770 0.230
F2 0.750 0.230 0.770
# Calculated volume ... 13.61 Å³ per atom
# Density of states at the Fermi level ... 0.00 states/eV per atom



[3]
# PBE-GGA AlAs2PbF, optimized geometry
data_AlAs2PbF
_cell_length_a 5.660
_cell_length_b 3.455
_cell_length_c 5.660
_cell_angle_alpha 90.00
_cell_angle_beta 90.00
_cell_angle_gamma 90.00
_symmetry_space_group_name_H-M 'P 1'
_symmetry_Int_Tables_number 1
loop_
_symmetry_equiv_pos_as_xyz
'x,y,z'
loop_
_atom_site_label
_atom_site_fract_x
_atom_site_fract_y
_atom_site_fract_z
Pb1 0.500 0.500 0.500
As1 0.000 0.000 0.500
As2 0.500 0.000 0.000
Al1 0.000 0.500 0.000
F1 0.000 0.000 0.000
# Calculated volume ... 22.13 Å³ per atom
# Density of states at the Fermi level ... 0.69 states/eV per atom



[4]
# PBE-GGA AlAsSe2F, optimized geometry
data_AlAsSe2F
_cell_length_a 4.766
_cell_length_b 4.766
_cell_length_c 4.927
_cell_angle_alpha 90.00
_cell_angle_beta 90.00
_cell_angle_gamma 90.00
_symmetry_space_group_name_H-M 'P 1'
_symmetry_Int_Tables_number 1
loop_
_symmetry_equiv_pos_as_xyz
'x,y,z'
loop_
_atom_site_label
_atom_site_fract_x
_atom_site_fract_y
_atom_site_fract_z
As1 0.000 0.000 0.500
Al1 0.000 0.000 0.000
Se1 0.000 0.500 0.000
Se2 0.500 0.000 0.000
F1 0.500 0.500 0.500
# Calculated volume ... 22.39 Å³ per atom
# Density of states at the Fermi level ... 0.88 states/eV per atom



[5]
# PBE-GGA AlAsSe2F, optimized geometry
data_AlAsSe2F
_cell_length_a 5.101
_cell_length_b 5.101
_cell_length_c 3.983
_cell_angle_alpha 90.00
_cell_angle_beta 90.00
_cell_angle_gamma 90.00
_symmetry_space_group_name_H-M 'P 1'
_symmetry_Int_Tables_number 1
loop_
_symmetry_equiv_pos_as_xyz
'x,y,z'
loop_
_atom_site_label
_atom_site_fract_x
_atom_site_fract_y
_atom_site_fract_z
As1 0.000 0.000 0.500
Al1 0.500 0.500 0.500
Se1 0.000 0.500 0.000
Se2 0.500 0.000 0.000
F1 0.000 0.000 0.000
# Calculated volume ... 20.73 Å³ per atom
# Density of states at the Fermi level ... 0.82 states/eV per atom



[6]
# PBE-GGA TiAlAs2F, optimized geometry
data_TiAlAs2F
_cell_length_a 4.737
_cell_length_b 5.239
_cell_length_c 4.737
_cell_angle_alpha 90.00
_cell_angle_beta 90.00
_cell_angle_gamma 90.00
_symmetry_space_group_name_H-M 'P 1'
_symmetry_Int_Tables_number 1
loop_
_symmetry_equiv_pos_as_xyz
'x,y,z'
loop_
_atom_site_label
_atom_site_fract_x
_atom_site_fract_y
_atom_site_fract_z
As1 0.000 0.000 0.500
As2 0.500 0.000 0.000
F1 0.500 0.500 0.500
Al1 0.000 0.500 0.000
Ti1 0.000 0.000 0.000
# Calculated volume ... 23.52 Å³ per atom
# Density of states at the Fermi level ... 0.39 states/eV per atom



no.,total moment (μB/f.u.),raw formation energy (eV per atom)
1,0.000,-0.80
2,0.000,-1.63
3,0.000,-0.13
4,0.000,0.11
5,0.000,0.25
6,0.000,-0.12